[1]
VASP calculation (GGA-PBE) on crystalline RbBa2Mo2N6 at its relaxed geometry.

## Properties
* uncorrected energy: -7.2523 eV per atom

a b c (Å): 8.230 6.440 7.398
angles (deg): 139.52 115.06 57.49
Sites, in units of the cell vectors:
N 0.322 0.753 0.811
N 0.678 0.247 0.189
N 0.135 0.377 0.763
N 0.865 0.623 0.237
N 0.919 0.771 0.504
N 0.081 0.229 0.496
Rb 0.500 0.000 0.500
Mo 0.101 0.722 0.762
Mo 0.899 0.278 0.238
Ba 0.758 0.515 0.784
Ba 0.242 0.485 0.216

[2]
VASP calculation (GGA-PBE) on crystalline CaNbSi3 at its relaxed geometry.

## Properties
* uncorrected energy: -5.5817 eV per atom

a b c (Å): 4.877 4.877 4.877
angles (deg): 90.00 90.00 90.00
Sites, in units of the cell vectors:
Si 0.000 0.500 0.000
Si 0.500 0.000 0.000
Si 0.000 0.000 0.500
Nb 0.000 0.000 0.000
Ca 0.500 0.500 0.500